a) A geometry-optimized KBa2Sc structure, computed with PBE.

Values from the calculation:
Calculated density ... 2.9 g cm⁻³
Space group ... No. 99

Lattice parameters (Å, degrees): 4.0538 4.0538 12.6063 90.00 90.00 90.00
Fractional positions:
1 K 0.0000 0.0000 0.0000
2 Ba 0.0000 0.0000 0.4245
3 Ba 0.5000 0.5000 0.7022
4 Sc 0.5000 0.5000 0.2308

b) A geometry-optimized KBa2Sc structure, computed with PBE.

Values from the calculation:
Calculated density ... 3.0 g cm⁻³
Space group ... No. 225

Lattice parameters (Å, degrees): 6.5659 6.5659 6.5659 60.00 60.00 60.00
Fractional positions:
1 K 0.0000 0.0000 0.0000
2 Ba 0.2500 0.2500 0.2500
3 Ba 0.7500 0.7500 0.7500
4 Sc 0.5000 0.5000 0.5000

Most stable = a)

a) A geometry-optimized K2BaSc2 structure, computed with PBE.

Values from the calculation:
Calculated density ... 2.1 g cm⁻³
Space group ... No. 139

Lattice parameters (Å, degrees): 9.6293 9.6293 9.6293 148.50 148.50 45.15
Fractional positions:
1 K 0.2500 0.7500 0.5000
2 K 0.7500 0.2500 0.5000
3 Ba 0.0000 0.0000 0.0000
4 Sc 0.4227 0.4227 0.0000
5 Sc 0.5773 0.5773 0.0000

b) A geometry-optimized K2BaSc2 structure, computed with PBE.

Values from the calculation:
Calculated density ... 2.2 g cm⁻³
Space group ... No. 127

Lattice parameters (Å, degrees): 10.9220 10.9220 3.8296 90.00 90.00 90.00
Fractional positions:
1 K 0.1915 0.3085 0.0000
2 K 0.3085 0.8085 0.0000
3 K 0.6915 0.1915 0.0000
4 K 0.8085 0.6915 0.0000
5 Ba 0.0000 0.0000 0.5000
6 Ba 0.5000 0.5000 0.5000
7 Sc 0.0946 0.5946 0.5000
8 Sc 0.4054 0.0946 0.5000
9 Sc 0.5946 0.9054 0.5000
10 Sc 0.9054 0.4054 0.5000

Most stable = a)

a) A geometry-optimized KBa2Se2 structure, computed with PBE.

Values from the calculation:
Calculated density ... 3.1 g cm⁻³
Space group ... No. 139

Lattice parameters (Å, degrees): 7.9956 7.9956 7.9956 135.21 135.21 65.20
Fractional positions:
1 K 0.0000 0.0000 0.0000
2 Ba 0.3197 0.3197 0.0000
3 Ba 0.6803 0.6803 0.0000
4 Se 0.2500 0.7500 0.5000
5 Se 0.7500 0.2500 0.5000

b) A geometry-optimized KBa2Se2 structure, computed with PBE.

Values from the calculation:
Calculated density ... 2.5 g cm⁻³
Space group ... No. 139

Lattice parameters (Å, degrees): 9.0143 9.0143 9.0143 138.99 138.99 59.39
Fractional positions:
1 K 0.0000 0.0000 0.0000
2 Ba 0.2500 0.7500 0.5000
3 Ba 0.7500 0.2500 0.5000
4 Se 0.2061 0.2061 0.0000
5 Se 0.7939 0.7939 0.0000

Most stable = b)